(1)
{"formula": "NiRh2Au", "functional": "PBEsol", "state": "optimized geometry", "cell": [[8.950, 0.000, 0.000], [0.000, 2.710, 0.000], [-0.941, 0.000, 4.510]], "species": ["Ni", "Ni", "Rh", "Rh", "Rh", "Rh", "Au", "Au"], "fractional_positions": [[0.000, 0.000, 0.000], [0.500, 0.500, 0.000], [0.239, 0.500, 0.235], [0.261, 0.000, 0.765], [0.739, 0.000, 0.235], [0.761, 0.500, 0.765], [0.000, 0.500, 0.500], [0.500, 0.000, 0.500]], "e_tot_ev_per_atom": -6.440, "relative_energy_mev_per_atom": 58, "total_magnetization_mub_per_fu": 1.14}

=====

(2)
{"formula": "KMnSb2", "functional": "PBEsol", "state": "optimized geometry", "cell": [[4.089, 0.000, 0.000], [-2.045, 3.541, 0.000], [0.000, 0.000, 22.985]], "species": ["K", "K", "K", "Mn", "Mn", "Mn", "Sb", "Sb", "Sb", "Sb", "Sb", "Sb"], "fractional_positions": [[0.000, 0.000, 0.000], [0.333, 0.667, 0.667], [0.667, 0.333, 0.333], [0.000, 0.000, 0.831], [0.333, 0.667, 0.497], [0.667, 0.333, 0.164], [0.000, 0.000, 0.218], [0.000, 0.000, 0.444], [0.333, 0.667, 0.111], [0.333, 0.667, 0.885], [0.667, 0.333, 0.552], [0.667, 0.333, 0.778]], "e_tot_ev_per_atom": -5.100, "formation_energy_uncorrected_ev_per_atom": -0.10, "relative_energy_mev_per_atom": 1, "total_magnetization_mub_per_fu": 2.89}

=====

(3)
{"formula": "KCa2P", "functional": "PBEsol", "state": "optimized geometry", "cell": [[4.202, 0.000, 0.000], [-2.101, 3.639, 0.000], [0.000, 0.000, 31.916]], "species": ["K", "K", "K", "Ca", "Ca", "Ca", "Ca", "Ca", "Ca", "P", "P", "P"], "fractional_positions": [[0.000, 0.000, 0.000], [0.333, 0.667, 0.667], [0.667, 0.333, 0.333], [0.000, 0.000, 0.212], [0.000, 0.000, 0.788], [0.333, 0.667, 0.455], [0.333, 0.667, 0.878], [0.667, 0.333, 0.122], [0.667, 0.333, 0.545], [0.000, 0.000, 0.500], [0.333, 0.667, 0.167], [0.667, 0.333, 0.833]], "e_tot_ev_per_atom": -3.410, "total_magnetization_mub_per_fu": 0.00}

=====

(4)
{"formula": "CdTePtI2", "functional": "PBEsol", "state": "optimized geometry", "cell": [[5.411, 0.000, 0.000], [0.000, 5.411, 0.000], [0.000, 0.000, 5.258]], "species": ["Cd", "Te", "Pt", "I", "I"], "fractional_positions": [[0.000, 0.000, 0.000], [0.500, 0.500, 0.000], [0.500, 0.500, 0.500], [0.000, 0.500, 0.500], [0.500, 0.000, 0.500]], "e_tot_ev_per_atom": -2.834, "formation_energy_uncorrected_ev_per_atom": 0.21, "total_magnetization_mub_per_fu": 0.00}

=====

(5)
{"formula": "NaAlTe2", "functional": "PBEsol", "state": "optimized geometry", "cell": [[8.125, 0.000, 0.000], [0.000, 8.125, 0.000], [0.000, 0.000, 6.778]], "species": ["Na", "Na", "Na", "Na", "Al", "Al", "Al", "Al", "Te", "Te", "Te", "Te", "Te", "Te", "Te", "Te"], "fractional_positions": [[0.000, 0.000, 0.250], [0.000, 0.000, 0.750], [0.500, 0.500, 0.250], [0.500, 0.500, 0.750], [0.000, 0.500, 0.250], [0.000, 0.500, 0.750], [0.500, 0.000, 0.250], [0.500, 0.000, 0.750], [0.177, 0.323, 0.000], [0.177, 0.677, 0.500], [0.323, 0.177, 0.500], [0.323, 0.823, 0.000], [0.677, 0.177, 0.000], [0.677, 0.823, 0.500], [0.823, 0.323, 0.500], [0.823, 0.677, 0.000]], "e_tot_ev_per_atom": -3.783, "formation_energy_uncorrected_ev_per_atom": -0.65, "total_magnetization_mub_per_fu": 0.00}

=====

(6)
{"formula": "Rb2SiCl", "functional": "PBEsol", "state": "optimized geometry", "cell": [[8.263, 0.000, 0.000], [0.000, 8.263, 0.000], [0.000, 0.000, 8.263]], "species": ["Rb", "Rb", "Rb", "Rb", "Rb", "Rb", "Rb", "Rb", "Si", "Si", "Si", "Si", "Cl", "Cl", "Cl", "Cl"], "fractional_positions": [[0.250, 0.250, 0.250], [0.250, 0.250, 0.750], [0.250, 0.750, 0.250], [0.250, 0.750, 0.750], [0.750, 0.250, 0.250], [0.750, 0.250, 0.750], [0.750, 0.750, 0.250], [0.750, 0.750, 0.750], [0.000, 0.000, 0.000], [0.000, 0.500, 0.500], [0.500, 0.000, 0.500], [0.500, 0.500, 0.000], [0.000, 0.000, 0.500], [0.000, 0.500, 0.000], [0.500, 0.000, 0.000], [0.500, 0.500, 0.500]], "e_tot_ev_per_atom": -2.744, "formation_energy_uncorrected_ev_per_atom": -0.29, "total_magnetization_mub_per_fu": 3.00}